Entry 1:
DFT (PBE-GGA) results for crystalline Ac2Ni4SnP3 at its relaxed geometry.

Output
* density: 8.47 g/cm3

Unit cell a=4.2068 b=4.2068 c=9.9774 alpha=90.00 beta=90.00 gamma=90.00
Last column: nearest neighbours and their distance in Å.
Space group P-4m2 (No. 115)
Unique sites:
Ac 0.0000 0.5000 0.2329 (multiplicity 2)  8 Ni 3.13-3.23, 6 P 3.18-3.39, 2 Sn 3.39
Ni 0.0000 0.0000 0.0000 (multiplicity 1)  4 P 2.42
Ni 0.0000 0.5000 0.6422 (multiplicity 2)  3 P 2.37-2.54, 2 Sn 2.54
Ni 0.5000 0.5000 0.0000 (multiplicity 1)  4 P 2.42
Sn 0.0000 0.0000 0.5000 (multiplicity 1)  4 Ni 2.54
P 0.0000 0.5000 0.8800 (multiplicity 2)  5 Ni 2.37-2.42
P 0.5000 0.5000 0.5000 (multiplicity 1)  4 Ni 2.54



Entry 2:
DFT (PBE-GGA) results for crystalline SrAcNi2P2 at its relaxed geometry.

Output
* density: 6.67 g/cm3

Unit cell a=4.0324 b=4.0324 c=8.7368 alpha=90.00 beta=90.00 gamma=120.00
Last column: nearest neighbours and their distance in Å.
Space group P-3m1 (No. 164)
Unique sites:
Sr 0.0000 0.0000 0.0000 (multiplicity 1)  6 P 3.19, 6 Ni 3.22
Ac 0.0000 0.0000 0.5000 (multiplicity 1)  6 Ni 3.16, 6 P 3.19
Ni 0.3333 0.6667 0.2548 (multiplicity 2)  3 P 2.33
P 0.3333 0.6667 0.7503 (multiplicity 2)  3 Ni 2.33



Entry 3:
DFT (PBE-GGA) results for crystalline SrAcNiP at its relaxed geometry.

Output
* density: 6.65 g/cm3

Unit cell a=7.3924 b=7.3924 c=7.3924 alpha=90.00 beta=90.00 gamma=90.00
Last column: nearest neighbours and their distance in Å.
Space group F-43m (No. 216)
Unique sites:
Sr 0.0000 0.0000 0.0000 (multiplicity 4)  4 P 3.20, 4 Ni 3.20
Ac 0.0000 0.0000 0.5000 (multiplicity 4)  4 Ni 3.20, 4 P 3.20
Ni 0.2500 0.2500 0.7500 (multiplicity 4)  4 Ac 3.20, 4 Sr 3.20
P 0.2500 0.2500 0.2500 (multiplicity 4)  4 Ac 3.20, 4 Sr 3.20



| no. | raw total energy (eV/atom) |
| --- | --- |
| 1 | -5.909 |
| 2 | -5.655 |
| 3 | -4.738 |